# 1
VASP calculation (PBE) on a geometry-optimized Tb5Tm6Th structure.

Results
DFT total energy: -4.67 eV per atom
E_form: 0.1106 eV/atom
ρ: 9.02 g/cm3
symmetry: Immm, No. 71
size of the total moment: 0.00 Bohr magnetons per cell

Cell: 9.9414 9.9414 9.9414 Å, 146.40 135.88 56.57°
With the nearest neighbours (Å) after each atom.
Positions (direct):
Tb  0.0000  0.0000  0.0000  8 Tm 3.44-3.63, 2 Th 3.73
Tb  0.1556  0.6556  0.5000  8 Tm 3.31-3.46
Tb  0.3437  0.3437  0.0000  8 Tm 3.30-3.47
Tb  0.6563  0.6563  0.0000  8 Tm 3.30-3.47
Tb  0.8444  0.3444  0.5000  8 Tm 3.31-3.46
Tm  0.0745  0.8226  0.2519  7 Tb 3.44-3.63, 1 Th 3.62, 4 Tm 3.71-3.84
Tm  0.2522  0.5000  0.7522  6 Tb 3.30-3.44, 2 Th 3.42
Tm  0.4293  0.1774  0.2519  7 Tb 3.44-3.63, 1 Th 3.62, 4 Tm 3.71-3.84
Tm  0.5707  0.8226  0.7481  7 Tb 3.44-3.63, 1 Th 3.62, 4 Tm 3.71-3.84
Tm  0.7478  0.5000  0.2478  6 Tb 3.30-3.44, 2 Th 3.42
Tm  0.9255  0.1774  0.7481  7 Tb 3.44-3.63, 1 Th 3.62, 4 Tm 3.71-3.84
Th  0.5000  0.0000  0.5000  8 Tm 3.42-3.62, 2 Tb 3.73

=====

# 2
VASP calculation (PBE) on a geometry-optimized Tb2TmTh4 structure.

Results
DFT total energy: -6.12 eV per atom
E_form: 0.0808 eV/atom
ρ: 10.33 g/cm3
symmetry: Cmmm, No. 65
size of the total moment: 0.00 Bohr magnetons per cell

Cell: 18.0476 18.0476 3.5533 Å, 90.00 90.00 168.67°
With the nearest neighbours (Å) after each atom.
Positions (direct):
Tb  0.2073  0.7927  0.0000  4 Th 3.51, 6 Tb 3.55-3.56
Tb  0.7927  0.2073  0.0000  4 Th 3.51, 6 Tb 3.55-3.56
Tm  0.5000  0.5000  0.5000  4 Tm 3.55-3.56, 8 Th 3.57
Th  0.0705  0.9295  0.0000  8 Th 3.52-3.56, 4 Tm 3.57
Th  0.3610  0.6390  0.5000  4 Tb 3.51, 8 Th 3.52-3.56
Th  0.6390  0.3610  0.5000  4 Tb 3.51, 8 Th 3.52-3.56
Th  0.9295  0.0705  0.0000  8 Th 3.52-3.56, 4 Tm 3.57

=====

# 3
VASP calculation (PBE) on a geometry-optimized Tb2Tm5Th2 structure.

Results
DFT total energy: -5.01 eV per atom
E_form: 0.1562 eV/atom
ρ: 9.22 g/cm3
symmetry: P-1, No. 2
distance to the lowest polymorph of the same formula: 0.000 eV per atom
size of the total moment: 0.00 Bohr magnetons per cell

Cell: 3.5714 7.3387 11.5671 Å, 94.79 90.00 104.07°
With the nearest neighbours (Å) after each atom.
Positions (direct):
Tb  0.0751  0.1511  0.3352  6 Tm 3.54-3.93, 2 Tb 3.57, 2 Th 3.67
Tb  0.9249  0.8489  0.6648  6 Tm 3.54-3.93, 2 Tb 3.57, 2 Th 3.67
Tm  0.0000  0.0000  0.0000  6 Tm 3.29-3.57, 4 Th 3.41
Tm  0.2094  0.4185  0.6094  6 Tm 3.37-3.57, 1 Th 3.43, 3 Tb 3.56
Tm  0.3887  0.7774  0.1845  6 Tm 3.29-3.57, 3 Th 3.37-3.49, 2 Tb 3.54
Tm  0.6113  0.2226  0.8155  6 Tm 3.29-3.57, 3 Th 3.37-3.49, 2 Tb 3.54
Tm  0.7906  0.5815  0.3906  6 Tm 3.37-3.57, 1 Th 3.43, 3 Tb 3.56
Th  0.3081  0.6164  0.8904  6 Tm 3.37-3.49, 4 Th 3.57-3.62, 2 Tb 3.67
Th  0.6919  0.3836  0.1096  6 Tm 3.37-3.49, 4 Th 3.57-3.62, 2 Tb 3.67

=====

# 4
VASP calculation (PBE) on a geometry-optimized Tb2Tm9Th structure.

Results
DFT total energy: -4.71 eV per atom
E_form: 0.0287 eV/atom
ρ: 9.38 g/cm3
symmetry: P4/mmm, No. 123
size of the total moment: 0.00 Bohr magnetons per cell

Cell: 4.9645 4.9645 14.8745 Å, 90.00 90.00 90.00°
With the nearest neighbours (Å) after each atom.
Positions (direct):
Tb  0.0000  0.0000  0.1671  12 Tm 3.51-3.52
Tb  0.0000  0.0000  0.8329  12 Tm 3.51-3.52
Tm  0.0000  0.5000  0.0000  8 Tm 3.49-3.51, 4 Tb 3.51
Tm  0.0000  0.5000  0.3345  2 Th 3.50, 8 Tm 3.50-3.53, 2 Tb 3.52
Tm  0.0000  0.5000  0.6655  2 Th 3.50, 8 Tm 3.50-3.53, 2 Tb 3.52
Tm  0.5000  0.0000  0.0000  8 Tm 3.49-3.51, 4 Tb 3.51
Tm  0.5000  0.0000  0.3345  2 Th 3.50, 8 Tm 3.50-3.53, 2 Tb 3.52
Tm  0.5000  0.0000  0.6655  2 Th 3.50, 8 Tm 3.50-3.53, 2 Tb 3.52
Tm  0.5000  0.5000  0.1653  8 Tm 3.49-3.53, 4 Tb 3.51
Tm  0.5000  0.5000  0.5000  8 Tm 3.50, 4 Th 3.51
Tm  0.5000  0.5000  0.8347  8 Tm 3.49-3.53, 4 Tb 3.51
Th  0.0000  0.0000  0.5000  12 Tm 3.50-3.51

=====

# 5
VASP calculation (PBE) on a geometry-optimized Tb2Tm8Th structure.

Results
DFT total energy: -4.74 eV per atom
E_form: 0.0288 eV/atom
ρ: 9.35 g/cm3
symmetry: C2/m, No. 12
size of the total moment: 0.00 Bohr magnetons per cell

Cell: 9.2960 9.2960 7.8536 Å, 104.68 104.68 31.04°
With the nearest neighbours (Å) after each atom.
Positions (direct):
Tb  0.2281  0.2281  0.1361  2 Tb 3.50, 10 Tm 3.51-3.55
Tb  0.7719  0.7719  0.8639  2 Tb 3.50, 10 Tm 3.51-3.55
Tm  0.0447  0.0447  0.2309  9 Tm 3.47-3.56, 2 Th 3.49, 1 Tb 3.55
Tm  0.1354  0.1354  0.6796  7 Tm 3.47-3.54, 2 Th 3.50, 3 Tb 3.52-3.53
Tm  0.3194  0.3194  0.5926  1 Th 3.50, 8 Tm 3.50-3.55, 3 Tb 3.52-3.53
Tm  0.4099  0.4099  0.0467  8 Tm 3.50-3.54, 1 Th 3.50, 3 Tb 3.51-3.53
Tm  0.5901  0.5901  0.9533  8 Tm 3.50-3.54, 1 Th 3.50, 3 Tb 3.51-3.53
Tm  0.6806  0.6806  0.4074  1 Th 3.50, 8 Tm 3.50-3.55, 3 Tb 3.52-3.53
Tm  0.8646  0.8646  0.3204  7 Tm 3.47-3.54, 2 Th 3.50, 3 Tb 3.52-3.53
Tm  0.9553  0.9553  0.7691  9 Tm 3.47-3.56, 2 Th 3.49, 1 Tb 3.55
Th  0.5000  0.5000  0.5000  12 Tm 3.49-3.50

=====

# 6
VASP calculation (PBE) on a geometry-optimized Tb19Tm4Th6 structure.

Results
DFT total energy: -4.77 eV per atom
E_form: 0.4117 eV/atom
ρ: 8.79 g/cm3
symmetry: I23, No. 197
size of the total moment: 0.00 Bohr magnetons per cell

Cell: 10.7684 10.7684 10.7684 Å, 109.47 109.47 109.47°
With the nearest neighbours (Å) after each atom.
Positions (direct):
Tb  0.0000  0.0000  0.0000  6 Tb 3.30
Tb  0.0000  0.2655  0.2655  5 Tb 3.30-3.55, 2 Tm 3.31, 2 Th 3.34
Tb  0.0000  0.7345  0.7345  5 Tb 3.30-3.55, 2 Tm 3.31, 2 Th 3.34
Tb  0.0205  0.2117  0.6764  1 Th 3.20, 4 Tb 3.31-3.56, 2 Tm 3.33-3.43
Tb  0.1912  0.9795  0.6559  1 Th 3.20, 4 Tb 3.31-3.56, 2 Tm 3.33-3.43
Tb  0.2117  0.6764  0.0205  1 Th 3.20, 4 Tb 3.31-3.56, 2 Tm 3.33-3.43
Tb  0.2655  0.0000  0.2655  5 Tb 3.30-3.55, 2 Tm 3.31, 2 Th 3.34
Tb  0.2655  0.2655  0.0000  5 Tb 3.30-3.55, 2 Tm 3.31, 2 Th 3.34
Tb  0.3236  0.5353  0.3441  1 Th 3.20, 4 Tb 3.31-3.56, 2 Tm 3.33-3.43
Tb  0.3441  0.3236  0.5353  1 Th 3.20, 4 Tb 3.31-3.56, 2 Tm 3.33-3.43
Tb  0.4647  0.7883  0.8088  1 Th 3.20, 4 Tb 3.31-3.56, 2 Tm 3.33-3.43
Tb  0.5353  0.3441  0.3236  1 Th 3.20, 4 Tb 3.31-3.56, 2 Tm 3.33-3.43
Tb  0.6559  0.1912  0.9795  1 Th 3.20, 4 Tb 3.31-3.56, 2 Tm 3.33-3.43
Tb  0.6764  0.0205  0.2117  1 Th 3.20, 4 Tb 3.31-3.56, 2 Tm 3.33-3.43
Tb  0.7345  0.0000  0.7345  5 Tb 3.30-3.55, 2 Tm 3.31, 2 Th 3.34
Tb  0.7345  0.7345  0.0000  5 Tb 3.30-3.55, 2 Tm 3.31, 2 Th 3.34
Tb  0.7883  0.8088  0.4647  1 Th 3.20, 4 Tb 3.31-3.56, 2 Tm 3.33-3.43
Tb  0.8088  0.4647  0.7883  1 Th 3.20, 4 Tb 3.31-3.56, 2 Tm 3.33-3.43
Tb  0.9795  0.6559  0.1912  1 Th 3.20, 4 Tb 3.31-3.56, 2 Tm 3.33-3.43
Tm  0.0000  0.0000  0.3553  9 Tb 3.31-3.43
Tm  0.0000  0.3553  0.0000  9 Tb 3.31-3.43
Tm  0.3553  0.0000  0.0000  9 Tb 3.31-3.43
Tm  0.6447  0.6447  0.6447  9 Tb 3.31-3.43
Th  0.1304  0.5000  0.6304  4 Tb 3.20-3.34, 1 Th 3.24
Th  0.3696  0.8696  0.5000  4 Tb 3.20-3.34, 1 Th 3.24
Th  0.5000  0.3696  0.8696  4 Tb 3.20-3.34, 1 Th 3.24
Th  0.5000  0.6304  0.1304  4 Tb 3.20-3.34, 1 Th 3.24
Th  0.6304  0.1304  0.5000  4 Tb 3.20-3.34, 1 Th 3.24
Th  0.8696  0.5000  0.3696  4 Tb 3.20-3.34, 1 Th 3.24

=====

# 7
VASP calculation (PBE) on a geometry-optimized Tb6Tm8Th structure.

Results
DFT total energy: -4.61 eV per atom
E_form: 0.1265 eV/atom
ρ: 8.89 g/cm3
symmetry: R-3, No. 148
size of the total moment: 0.00 Bohr magnetons per cell

Cell: 8.5578 8.5578 8.5578 Å, 63.11 63.11 63.11°
With the nearest neighbours (Å) after each atom.
Positions (direct):
Tb  0.0374  0.6058  0.7282  4 Tm 3.34-3.65, 1 Th 3.42, 4 Tb 3.45-3.74
Tb  0.2718  0.9626  0.3942  4 Tm 3.34-3.65, 1 Th 3.42, 4 Tb 3.45-3.74
Tb  0.3942  0.2718  0.9626  4 Tm 3.34-3.65, 1 Th 3.42, 4 Tb 3.45-3.74
Tb  0.6058  0.7282  0.0374  4 Tm 3.34-3.65, 1 Th 3.42, 4 Tb 3.45-3.74
Tb  0.7282  0.0374  0.6058  4 Tm 3.34-3.65, 1 Th 3.42, 4 Tb 3.45-3.74
Tb  0.9626  0.3942  0.2718  4 Tm 3.34-3.65, 1 Th 3.42, 4 Tb 3.45-3.74
Tm  0.0769  0.0769  0.0769  4 Tm 3.15-3.38, 3 Tb 3.37
Tm  0.2188  0.6119  0.2501  3 Tb 3.34-3.65, 5 Tm 3.38-3.41, 1 Th 3.46
Tm  0.2501  0.2188  0.6119  3 Tb 3.34-3.65, 5 Tm 3.38-3.41, 1 Th 3.46
Tm  0.3881  0.7499  0.7812  3 Tb 3.34-3.65, 5 Tm 3.38-3.41, 1 Th 3.46
Tm  0.6119  0.2501  0.2188  3 Tb 3.34-3.65, 5 Tm 3.38-3.41, 1 Th 3.46
Tm  0.7499  0.7812  0.3881  3 Tb 3.34-3.65, 5 Tm 3.38-3.41, 1 Th 3.46
Tm  0.7812  0.3881  0.7499  3 Tb 3.34-3.65, 5 Tm 3.38-3.41, 1 Th 3.46
Tm  0.9231  0.9231  0.9231  4 Tm 3.15-3.38, 3 Tb 3.37
Th  0.5000  0.5000  0.5000  6 Tb 3.42, 6 Tm 3.46

=====

# 8
VASP calculation (PBE) on a geometry-optimized Tb3Tm3Th structure.

Results
DFT total energy: -4.80 eV per atom
E_form: 0.1578 eV/atom
ρ: 9.01 g/cm3
symmetry: C2/m, No. 12
distance to the lowest polymorph of the same formula: 0.140 eV per atom
size of the total moment: 0.00 Bohr magnetons per cell

Cell: 6.5413 6.5413 10.5157 Å, 90.79 90.79 95.17°
With the nearest neighbours (Å) after each atom.
Positions (direct):
Tb  0.0293  0.0293  0.2536  5 Tm 3.19-3.21, 1 Th 3.27, 4 Tb 3.42-3.43
Tb  0.1266  0.4835  0.7522  4 Tm 3.37-3.74, 3 Tb 3.42-3.45
Tb  0.4835  0.1266  0.7522  4 Tm 3.37-3.74, 3 Tb 3.42-3.45
Tb  0.5165  0.8734  0.2478  4 Tm 3.37-3.74, 3 Tb 3.42-3.45
Tb  0.8734  0.5165  0.2478  4 Tm 3.37-3.74, 3 Tb 3.42-3.45
Tb  0.9707  0.9707  0.7464  5 Tm 3.19-3.21, 1 Th 3.27, 4 Tb 3.42-3.43
Tm  0.1826  0.8174  0.0000  4 Tb 3.20-3.37, 4 Th 3.51-3.52, 1 Tm 3.53
Tm  0.1909  0.8091  0.5000  4 Tb 3.19-3.43, 4 Tm 3.42-3.47
Tm  0.3234  0.3234  0.4384  1 Tb 3.21, 5 Tm 3.35-3.47
Tm  0.6766  0.6766  0.5616  1 Tb 3.21, 5 Tm 3.35-3.47
Tm  0.8091  0.1909  0.5000  4 Tb 3.19-3.43, 4 Tm 3.42-3.47
Tm  0.8174  0.1826  0.0000  4 Tb 3.20-3.37, 4 Th 3.51-3.52, 1 Tm 3.53
Th  0.3330  0.3330  0.0806  1 Tb 3.27, 1 Th 3.43, 4 Tm 3.51-3.52
Th  0.6670  0.6670  0.9194  1 Tb 3.27, 1 Th 3.43, 4 Tm 3.51-3.52

=====

# 9
VASP calculation (PBE) on a geometry-optimized Tb4Tm15Th structure.

Results
DFT total energy: -4.62 eV per atom
E_form: 0.0269 eV/atom
ρ: 9.25 g/cm3
symmetry: P4/mmm, No. 123
size of the total moment: 0.00 Bohr magnetons per cell

Cell: 4.9682 4.9682 24.7311 Å, 90.00 90.00 90.00°
With the nearest neighbours (Å) after each atom.
Positions (direct):
Tb  0.0000  0.0000  0.0999  12 Tm 3.50-3.51
Tb  0.0000  0.0000  0.3003  12 Tm 3.51
Tb  0.0000  0.0000  0.6997  12 Tm 3.51
Tb  0.0000  0.0000  0.9001  12 Tm 3.50-3.51
Tm  0.0000  0.5000  0.0000  4 Tb 3.50, 8 Tm 3.51
Tm  0.0000  0.5000  0.2001  8 Tm 3.49-3.51, 4 Tb 3.51
Tm  0.0000  0.5000  0.4007  2 Th 3.49, 8 Tm 3.49-3.53, 2 Tb 3.51
Tm  0.0000  0.5000  0.5993  8 Tm 3.49-3.53, 2 Th 3.49, 2 Tb 3.51
Tm  0.0000  0.5000  0.7999  8 Tm 3.49-3.51, 4 Tb 3.51
Tm  0.5000  0.0000  0.0000  4 Tb 3.50, 8 Tm 3.51
Tm  0.5000  0.0000  0.2001  8 Tm 3.49-3.51, 4 Tb 3.51
Tm  0.5000  0.0000  0.4007  2 Th 3.49, 8 Tm 3.49-3.53, 2 Tb 3.51
Tm  0.5000  0.0000  0.5993  8 Tm 3.49-3.53, 2 Th 3.49, 2 Tb 3.51
Tm  0.5000  0.0000  0.7999  8 Tm 3.49-3.51, 4 Tb 3.51
Tm  0.5000  0.5000  0.1001  8 Tm 3.50-3.51, 4 Tb 3.51
Tm  0.5000  0.5000  0.2992  8 Tm 3.49-3.53, 4 Tb 3.51
Tm  0.5000  0.5000  0.5000  8 Tm 3.49, 4 Th 3.51
Tm  0.5000  0.5000  0.7008  8 Tm 3.49-3.53, 4 Tb 3.51
Tm  0.5000  0.5000  0.8999  8 Tm 3.50-3.51, 4 Tb 3.51
Th  0.0000  0.0000  0.5000  12 Tm 3.49-3.51

=====

# 10
VASP calculation (PBE) on a geometry-optimized Tb5Tm4Th2 structure.

Results
DFT total energy: -4.95 eV per atom
E_form: 0.1324 eV/atom
ρ: 9.08 g/cm3
symmetry: P2/m, No. 10
distance to the lowest polymorph of the same formula: 0.000 eV per atom
size of the total moment: 0.02 Bohr magnetons per cell

Cell: 8.7269 3.4815 11.6798 Å, 90.00 94.19 90.00°
With the nearest neighbours (Å) after each atom.
Positions (direct):
Tb  0.0000  0.0000  0.0000  6 Tb 3.37-3.48, 4 Tm 3.58
Tb  0.0716  0.0000  0.2900  4 Tb 3.40-3.52, 1 Th 3.47, 6 Tm 3.56-3.71
Tb  0.3051  0.0000  0.8391  1 Th 3.24, 4 Tb 3.37-3.52, 4 Tm 3.57-3.58
Tb  0.6949  0.0000  0.1609  1 Th 3.24, 4 Tb 3.37-3.52, 4 Tm 3.57-3.58
Tb  0.9284  0.0000  0.7100  4 Tb 3.40-3.52, 1 Th 3.47, 6 Tm 3.56-3.71
Tm  0.1957  0.5000  0.5465  3 Tm 3.48-3.51, 4 Th 3.54-3.70, 6 Tb 3.56-3.89
Tm  0.3393  0.5000  0.1076  2 Tm 3.48, 8 Tb 3.57-3.71, 2 Th 3.57
Tm  0.6607  0.5000  0.8924  2 Tm 3.48, 8 Tb 3.57-3.71, 2 Th 3.57
Tm  0.8043  0.5000  0.4535  3 Tm 3.48-3.51, 4 Th 3.54-3.70, 6 Tb 3.56-3.89
Th  0.4632  0.0000  0.3651  3 Th 3.17-3.48, 2 Tb 3.24-3.47, 2 Tm 3.54
Th  0.5368  0.0000  0.6349  3 Th 3.17-3.48, 2 Tb 3.24-3.47, 2 Tm 3.54